[1]
NaPd2Pb2, optimized geometry, DFT GGA-PBE; raw total energy = -4.0729 eV per atom; ΔE_f = -0.25 eV per atom; distance to the lowest polymorph of the same formula = 0 meV per atom
1.0
-2.583 -2.859 -2.957
-2.423 -5.907 3.818
-6.616 3.103 -1.263
Na Pd Pb
2 4 4
direct
0.000 0.750 0.250
0.000 0.250 0.750
0.669 0.668 0.996
0.669 0.168 0.496
0.331 0.332 0.004
0.331 0.832 0.504
0.664 0.422 0.248
0.664 0.922 0.748
0.336 0.078 0.252
0.336 0.578 0.752

---

[2]
Na3Pd3Pb5, optimized geometry, DFT GGA-PBE; raw total energy = -3.5270 eV per atom; ΔE_f = -0.07 eV per atom
1.0
-0.908 5.533 -0.854
-6.070 -1.887 -5.771
-2.087 0.934 8.275
Na Pd Pb
3 3 5
direct
0.000 0.631 0.000
0.000 0.000 0.631
0.000 0.369 0.369
0.500 0.631 0.000
0.500 0.369 0.369
0.500 0.000 0.631
0.500 0.667 0.333
0.500 0.333 0.667
0.500 0.243 0.000
0.500 0.757 0.757
0.500 0.000 0.243

---

> Among the records above, which one has the lowest raw total energy?

NaPd2Pb2

---

> The lowest ΔE_f belongs to which entry?

NaPd2Pb2